[1]
Entry from Alexandria: a relaxed KCrSe2 crystal (PBE).

a b c (Å): 3.665 6.838 8.760
angles (deg): 73.86 89.99 89.83
Atoms (fractional coordinates):
K: 0.249 0.312 0.322
K: 0.751 0.688 0.678
Cr: 0.250 0.139 0.851
Cr: 0.750 0.861 0.149
Se: 0.250 0.807 0.348
Se: 0.251 0.767 0.980
Se: 0.749 0.233 0.020
Se: 0.750 0.193 0.652

- Crystal system: triclinic
- SG: P-1, No. 2
- DFT total energy: -5.184 eV per atom
- ρ: 3922 kg/m3
- D(E_F): 0.65 states/eV/atom


[2]
Entry from Alexandria: a relaxed Ni2PbBr crystal (PBE).

a b c (Å): 4.600 4.600 3.371
angles (deg): 90.00 90.00 90.00
Atoms (fractional coordinates):
Ni: 0.000 0.500 0.000
Ni: 0.500 0.000 0.000
Pb: 0.000 0.000 0.500
Br: 0.500 0.500 0.500

- Crystal system: tetragonal
- SG: P4/mmm, No. 123
- DFT total energy: -3.739 eV per atom
- ρ: 9414 kg/m3
- Relative energy among the computed polymorphs: 420.1 meV/atom
- D(E_F): 0.68 states/eV/atom


[3]
Entry from Alexandria: a relaxed SmScOs crystal (PBE).

a b c (Å): 6.783 6.783 6.783
angles (deg): 151.61 151.61 40.58
Atoms (fractional coordinates):
Sm: 0.000 0.000 0.000
Sc: 0.256 0.256 0.000
Os: 0.643 0.643 0.000

- Crystal system: tetragonal
- SG: I4mm, No. 107
- DFT total energy: -7.639 eV per atom
- ΔH_f (0 K): -0.2122 eV per atom
- ρ: 9097 kg/m3
- Relative energy among the computed polymorphs: 68.3 meV/atom
- D(E_F): 0.52 states/eV/atom